DyTmBiTe: relaxed, PBE.

POSCAR file:
```
DyTmBiTe
1.0
4.3937 0.0000 0.0000
0.0000 4.3937 0.0000
0.0000 0.0000 6.2038
Dy Tm Bi Te
1 1 1 1
direct
0.0000 0.0000 0.0000
0.5000 0.5000 0.5020
0.5000 0.5000 0.0018
0.0000 0.0000 0.5003
```

Calculated values
* uncorrected energy: -5.06 eV/atom
* E_form (uncorrected): -4.16 eV per formula unit

---

DyTh8Bi6: relaxed, PBE.

POSCAR file:
```
DyTh8Bi6
1.0
4.6572 2.6888 6.8147
-4.6572 2.6888 6.8147
0.0000 -5.3776 6.8147
Dy Th Bi
1 8 6
direct
0.0000 0.0000 0.0000
0.1005 0.7638 0.4646
0.2362 0.5354 0.8995
0.3339 0.3339 0.3339
0.4646 0.1005 0.7638
0.5354 0.8995 0.2362
0.6661 0.6661 0.6661
0.7638 0.4646 0.1005
0.8995 0.2362 0.5354
0.0677 0.3763 0.7395
0.2605 0.9323 0.6237
0.3763 0.7395 0.0677
0.6237 0.2605 0.9323
0.7395 0.0677 0.3763
0.9323 0.6237 0.2605
```

Calculated values
* uncorrected energy: -6.03 eV/atom

---

DyTh4Bi5: relaxed, PBE.

POSCAR file:
```
DyTh4Bi5
1.0
-5.1130 5.1130 3.2383
5.1130 -5.1130 3.2383
5.1130 5.1130 -3.2383
Dy Th Bi
1 4 5
direct
0.0000 0.0000 0.0000
0.1973 0.4032 0.6005
0.4032 0.8027 0.2058
0.5968 0.1973 0.7942
0.8027 0.5968 0.3995
0.1002 0.7072 0.8074
0.2928 0.1002 0.3930
0.5000 0.5000 0.0000
0.7072 0.8998 0.6070
0.8998 0.2928 0.1926
```

Calculated values
* uncorrected energy: -5.98 eV/atom

---

Dy2Th2Bi5: relaxed, PBE.

POSCAR file:
```
Dy2Th2Bi5
1.0
8.0492 -4.2319 0.0000
8.0492 4.2319 0.0000
0.0000 0.0000 8.4926
Dy Th Bi
4 4 10
direct
0.1507 0.8493 0.8467
0.3493 0.6507 0.3467
0.6507 0.3493 0.6533
0.8493 0.1507 0.1533
0.1939 0.1939 0.5000
0.3061 0.3061 0.0000
0.6939 0.6939 0.0000
0.8061 0.8061 0.5000
0.0000 0.0000 0.5000
0.0177 0.7068 0.1537
0.2068 0.5177 0.6537
0.2932 0.9823 0.1537
0.4823 0.7932 0.6537
0.5000 0.5000 0.0000
0.5177 0.2068 0.3463
0.7068 0.0177 0.8463
0.7932 0.4823 0.3463
0.9823 0.2932 0.8463
```

Calculated values
* uncorrected energy: -5.43 eV/atom

---

Dy5Th3Bi8: relaxed, PBE.

POSCAR file:
```
Dy5Th3Bi8
1.0
4.5291 2.6149 7.3710
-4.5291 2.6149 7.3710
0.0000 -5.2298 7.3710
Dy Th Bi
5 3 8
direct
0.0000 0.0000 0.0000
0.0000 0.5000 0.5000
0.5000 0.0000 0.5000
0.5000 0.5000 0.0000
0.5000 0.5000 0.5000
0.0000 0.0000 0.5000
0.0000 0.5000 0.0000
0.5000 0.0000 0.0000
0.2500 0.2500 0.7440
0.2500 0.7440 0.2500
0.2533 0.2533 0.2533
0.2560 0.7500 0.7500
0.7440 0.2500 0.2500
0.7467 0.7467 0.7467
0.7500 0.2560 0.7500
0.7500 0.7500 0.2560
```

Calculated values
* uncorrected energy: -5.52 eV/atom

---

Dy3ThBi4: relaxed, PBE.

POSCAR file:
```
Dy3ThBi4
1.0
4.5044 -6.3723 0.0000
4.5044 6.3723 0.0000
0.0000 0.0000 4.5175
Dy Th Bi
3 1 4
direct
0.0000 0.0000 0.0000
0.0000 0.5000 0.5000
0.5000 0.0000 0.5000
0.5000 0.5000 0.0000
0.2437 0.2437 0.5000
0.2473 0.7527 0.0000
0.7527 0.2473 0.0000
0.7563 0.7563 0.5000
```

Calculated values
* uncorrected energy: -5.39 eV/atom

---

Question: Look up the uncorrected energy of the fourth one.
Answer: -5.43 eV/atom

---

Question: uncorrected energy of number 3 (DyTh4Bi5)?
Answer: -5.98 eV/atom